1.
The following is a DFT calculation (PBE-GGA) of a relaxed GeIrPt3 crystal.

Properties
mass density	12.36	g/cm³
DFT formation energy	1.23	eV per atom
E above lowest polymorph	179	meV per atom

abc: 4.8524 4.8524 4.8524
angles: 90.00 90.00 90.00
Atoms (fractional coordinates):
1 Ge 0.0000 0.0000 0.0000
2 Ir 0.5000 0.5000 0.5000
3 Pt 0.0000 0.5000 0.5000
4 Pt 0.5000 0.0000 0.5000
5 Pt 0.5000 0.5000 0.0000

***

2.
The following is a DFT calculation (PBE-GGA) of a relaxed Ge4Ir2Pt crystal.

Properties
mass density	11.93	g/cm³
DFT formation energy	-0.22	eV per atom
E above lowest polymorph	98	meV per atom

abc: 12.7911 2.9603 12.7894
angles: 90.00 90.00 90.00
Atoms (fractional coordinates):
1 Ge 0.0421 0.2500 0.0948
2 Ge 0.0509 0.7500 0.3632
3 Ge 0.1814 0.7500 0.7345
4 Ge 0.2482 0.2500 0.5323
5 Ge 0.2518 0.7500 0.0323
6 Ge 0.3186 0.2500 0.2345
7 Ge 0.4491 0.2500 0.8632
8 Ge 0.4579 0.7500 0.5948
9 Ge 0.5421 0.2500 0.4052
10 Ge 0.5509 0.7500 0.1368
11 Ge 0.6814 0.7500 0.7655
12 Ge 0.7482 0.2500 0.9677
13 Ge 0.7518 0.7500 0.4677
14 Ge 0.8186 0.2500 0.2655
15 Ge 0.9491 0.2500 0.6368
16 Ge 0.9579 0.7500 0.9052
17 Ir 0.0865 0.7500 0.5561
18 Ir 0.1569 0.7500 0.2062
19 Ir 0.3431 0.2500 0.7062
20 Ir 0.4135 0.2500 0.0561
21 Ir 0.5865 0.7500 0.9439
22 Ir 0.6569 0.7500 0.2938
23 Ir 0.8431 0.2500 0.7938
24 Ir 0.9135 0.2500 0.4439
25 Pt 0.1335 0.2500 0.9036
26 Pt 0.3665 0.7500 0.4036
27 Pt 0.6335 0.2500 0.5964
28 Pt 0.8665 0.7500 0.0964

***

3.
The following is a DFT calculation (PBE-GGA) of a relaxed Ge4Ir2Pt crystal.

Properties
mass density	11.23	g/cm³
DFT formation energy	-0.32	eV per atom
E above lowest polymorph	0	meV per atom

abc: 6.3950 6.3950 6.2459
angles: 113.02 113.02 33.50
Atoms (fractional coordinates):
1 Ge 0.0990 0.0990 0.2961
2 Ge 0.3369 0.3369 0.1524
3 Ge 0.6631 0.6631 0.8476
4 Ge 0.9010 0.9010 0.7039
5 Ir 0.2461 0.2461 0.6940
6 Ir 0.7539 0.7539 0.3060
7 Pt 0.5000 0.5000 0.0000

***

4.
The following is a DFT calculation (PBE-GGA) of a relaxed GeIr3Pt crystal.

Properties
mass density	12.52	g/cm³
DFT formation energy	1.93	eV per atom
E above lowest polymorph	593	meV per atom

abc: 4.8205 4.8205 4.8205
angles: 90.00 90.00 90.00
Atoms (fractional coordinates):
1 Ge 0.0000 0.0000 0.0000
2 Ir 0.0000 0.5000 0.5000
3 Ir 0.5000 0.0000 0.5000
4 Ir 0.5000 0.5000 0.0000
5 Pt 0.5000 0.5000 0.5000

***

5.
The following is a DFT calculation (PBE-GGA) of a relaxed Ge4IrPt crystal.

Properties
mass density	8.26	g/cm³
DFT formation energy	0.00	eV per atom
E above lowest polymorph	320	meV per atom

abc: 4.7547 7.9015 7.5850
angles: 90.00 106.94 90.00
Atoms (fractional coordinates):
1 Ge 0.0914 0.0595 0.1805
2 Ge 0.0914 0.4405 0.1805
3 Ge 0.2314 0.7500 0.4668
4 Ge 0.3896 0.2500 0.7923
5 Ge 0.6104 0.7500 0.2077
6 Ge 0.7686 0.2500 0.5332
7 Ge 0.9086 0.5595 0.8195
8 Ge 0.9086 0.9405 0.8195
9 Ir 0.0609 0.7500 0.0974
10 Ir 0.9391 0.2500 0.9026
11 Pt 0.2302 0.2500 0.4488
12 Pt 0.7698 0.7500 0.5512

***

6.
The following is a DFT calculation (PBE-GGA) of a relaxed Ge2IrPt crystal.

Properties
mass density	10.17	g/cm³
DFT formation energy	-0.04	eV per atom
E above lowest polymorph	78	meV per atom

abc: 6.8182 6.8182 6.8182
angles: 131.55 131.55 70.94
Atoms (fractional coordinates):
1 Ge 0.1171 0.6250 0.9921
2 Ge 0.3750 0.3671 0.4921
3 Ge 0.6329 0.1250 0.0079
4 Ge 0.8750 0.8829 0.5079
5 Ir 0.0000 0.0000 0.0000
6 Ir 0.7500 0.2500 0.5000
7 Pt 0.2500 0.7500 0.5000
8 Pt 0.5000 0.5000 0.0000

***

7.
The following is a DFT calculation (PBE-GGA) of a relaxed Ge4IrPt crystal.

Properties
mass density	10.35	g/cm³
DFT formation energy	-0.32	eV per atom
E above lowest polymorph	0	meV per atom

abc: 6.0210 6.0210 7.3507
angles: 114.10 114.10 90.08
Atoms (fractional coordinates):
1 Ge 0.0001 0.2445 0.9998
2 Ge 0.9999 0.7555 0.0002
3 Ge 0.2445 0.0001 0.4998
4 Ge 0.2447 0.5001 0.5000
5 Ge 0.5001 0.2447 0.0000
6 Ge 0.4999 0.7553 0.0000
7 Ge 0.7553 0.4999 0.5000
8 Ge 0.7555 0.9999 0.5002
9 Ir 0.1252 0.8748 0.7500
10 Ir 0.8748 0.1252 0.2500
11 Pt 0.3751 0.6249 0.2500
12 Pt 0.6249 0.3751 0.7500

***

8.
The following is a DFT calculation (PBE-GGA) of a relaxed Ge2IrPt crystal.

Properties
mass density	13.07	g/cm³
DFT formation energy	-0.12	eV per atom
E above lowest polymorph	0	meV per atom

abc: 8.7798 8.7798 8.7798
angles: 19.76 19.76 19.76
Atoms (fractional coordinates):
1 Ge 0.0938 0.0938 0.0938
2 Ge 0.9062 0.9062 0.9062
3 Ir 0.5000 0.5000 0.5000
4 Pt 0.0000 0.0000 0.0000

***

9.
The following is a DFT calculation (PBE-GGA) of a relaxed Ge2IrPt crystal.

Properties
mass density	14.25	g/cm³
DFT formation energy	0.00	eV per atom
E above lowest polymorph	123	meV per atom

abc: 4.4445 4.4445 4.4445
angles: 60.00 60.00 60.00
Atoms (fractional coordinates):
1 Ge 0.2500 0.2500 0.2500
2 Ge 0.7500 0.7500 0.7500
3 Ir 0.0000 0.0000 0.0000
4 Pt 0.5000 0.5000 0.5000

***

10.
The following is a DFT calculation (PBE-GGA) of a relaxed GeIr2Pt crystal.

Properties
mass density	12.81	g/cm³
DFT formation energy	0.68	eV per atom

abc: 7.4924 7.4924 7.4924
angles: 140.45 140.45 57.17
Atoms (fractional coordinates):
1 Ge 0.0000 0.0000 0.0000
2 Ge 0.7500 0.2500 0.5000
3 Ir 0.1098 0.6250 0.9848
4 Ir 0.3750 0.3598 0.4848
5 Ir 0.6402 0.1250 0.0152
6 Ir 0.8750 0.8902 0.5152
7 Pt 0.2500 0.7500 0.5000
8 Pt 0.5000 0.5000 0.0000

***

11.
The following is a DFT calculation (PBE-GGA) of a relaxed GeIrPt3 crystal.

Properties
mass density	14.80	g/cm³
DFT formation energy	1.05	eV per atom
E above lowest polymorph	0	meV per atom

abc: 4.5687 4.5687 4.5687
angles: 90.00 90.00 90.00
Atoms (fractional coordinates):
1 Ge 0.0000 0.0000 0.0000
2 Ir 0.5000 0.5000 0.5000
3 Pt 0.0000 0.0000 0.5000
4 Pt 0.0000 0.5000 0.0000
5 Pt 0.5000 0.0000 0.0000

***

12.
The following is a DFT calculation (PBE-GGA) of a relaxed Ge6IrPt3 crystal.

Properties
mass density	11.16	g/cm³
DFT formation energy	-0.27	eV per atom

abc: 10.1177 3.6898 10.5590
angles: 90.00 113.61 90.00
Atoms (fractional coordinates):
1 Ge 0.0236 0.2500 0.1527
2 Ge 0.0773 0.7500 0.6176
3 Ge 0.2536 0.2500 0.5222
4 Ge 0.3002 0.2500 0.0180
5 Ge 0.3697 0.7500 0.3176
6 Ge 0.4317 0.7500 0.8083
7 Ge 0.5683 0.2500 0.1917
8 Ge 0.6303 0.2500 0.6824
9 Ge 0.6998 0.7500 0.9820
10 Ge 0.7464 0.7500 0.4778
11 Ge 0.9227 0.2500 0.3824
12 Ge 0.9764 0.7500 0.8473
13 Ir 0.0884 0.7500 0.3490
14 Ir 0.9116 0.2500 0.6510
15 Pt 0.1764 0.7500 0.0926
16 Pt 0.2506 0.2500 0.7690
17 Pt 0.4490 0.7500 0.5769
18 Pt 0.5510 0.2500 0.4231
19 Pt 0.7494 0.7500 0.2310
20 Pt 0.8236 0.2500 0.9074

***

Number 1: calculated total energy -25.5 eV/cell, Fermi-level density of states 2.035 states/eV/atom. Number 2: calculated total energy -175.1 eV/cell, Fermi-level density of states 0.468 states/eV/atom. Number 3: calculated total energy -44.5 eV/cell, Fermi-level density of states 0.335 states/eV/atom. Number 4: calculated total energy -27.6 eV/cell, Fermi-level density of states 1.526 states/eV/atom. Number 5: calculated total energy -66.7 eV/cell, Fermi-level density of states 0.359 states/eV/atom. Number 6: calculated total energy -48.6 eV/cell, Fermi-level density of states 0.384 states/eV/atom. Number 7: calculated total energy -70.6 eV/cell, Fermi-level density of states 0.087 states/eV/atom. Number 8: calculated total energy -24.6 eV/cell, Fermi-level density of states 0.459 states/eV/atom. Number 9: calculated total energy -24.1 eV/cell, Fermi-level density of states 0.736 states/eV/atom. Number 10: calculated total energy -51.3 eV/cell, Fermi-level density of states 0.954 states/eV/atom. Number 11: calculated total energy -26.4 eV/cell, Fermi-level density of states 1.688 states/eV/atom. Number 12: calculated total energy -114.9 eV/cell, Fermi-level density of states 0.217 states/eV/atom.